This record from Alexandria via LeMat-Bulk describes a relaxed Eu5Sn3S12 crystal. The functional is GGA-PBE.

a b c (Å): 14.1639 14.1639 14.1639
angles (deg): 109.47 109.47 109.47
Atoms (fractional coordinates):
Eu 0.0000 0.0000 0.0000
Eu 0.0000 0.0000 0.5000
Eu 0.0000 0.5000 0.0000
Eu 0.0000 0.5000 0.5000
Eu 0.1250 0.7500 0.8750
Eu 0.1250 0.8750 0.2500
Eu 0.2500 0.1250 0.8750
Eu 0.2500 0.6250 0.3750
Eu 0.3750 0.2500 0.6250
Eu 0.3750 0.6250 0.7500
Eu 0.5000 0.0000 0.0000
Eu 0.5000 0.0000 0.5000
Eu 0.5000 0.5000 0.0000
Eu 0.5000 0.5000 0.5000
Eu 0.6250 0.3750 0.2500
Eu 0.6250 0.7500 0.3750
Eu 0.7500 0.3750 0.6250
Eu 0.7500 0.8750 0.1250
Eu 0.8750 0.1250 0.7500
Eu 0.8750 0.2500 0.1250
Sn 0.1250 0.2500 0.3750
Sn 0.1250 0.3750 0.7500
Sn 0.2500 0.3750 0.1250
Sn 0.2500 0.8750 0.6250
Sn 0.3750 0.1250 0.2500
Sn 0.3750 0.7500 0.1250
Sn 0.6250 0.2500 0.8750
Sn 0.6250 0.8750 0.7500
Sn 0.7500 0.1250 0.3750
Sn 0.7500 0.6250 0.8750
Sn 0.8750 0.6250 0.2500
Sn 0.8750 0.7500 0.6250
S 0.0587 0.2338 0.1240
S 0.0587 0.3249 0.9347
S 0.0653 0.6240 0.3902
S 0.0653 0.9413 0.6751
S 0.1098 0.7338 0.6751
S 0.1098 0.8760 0.4347
S 0.1240 0.0587 0.2338
S 0.1240 0.5653 0.8902
S 0.1751 0.2338 0.6098
S 0.1751 0.4413 0.5653
S 0.2338 0.1240 0.0587
S 0.2338 0.6098 0.1751
S 0.2662 0.3249 0.8902
S 0.2662 0.4413 0.3760
S 0.3249 0.8902 0.2662
S 0.3249 0.9347 0.0587
S 0.3760 0.2662 0.4413
S 0.3760 0.6098 0.9347
S 0.3902 0.0653 0.6240
S 0.3902 0.8249 0.7662
S 0.4347 0.1098 0.8760
S 0.4347 0.8249 0.5587
S 0.4413 0.3760 0.2662
S 0.4413 0.5653 0.1751
S 0.5587 0.4347 0.8249
S 0.5587 0.6240 0.7338
S 0.5653 0.1751 0.4413
S 0.5653 0.8902 0.1240
S 0.6098 0.1751 0.2338
S 0.6098 0.9347 0.3760
S 0.6240 0.3902 0.0653
S 0.6240 0.7338 0.5587
S 0.6751 0.0653 0.9413
S 0.6751 0.1098 0.7338
S 0.7338 0.5587 0.6240
S 0.7338 0.6751 0.1098
S 0.7662 0.3902 0.8249
S 0.7662 0.8760 0.9413
S 0.8249 0.5587 0.4347
S 0.8249 0.7662 0.3902
S 0.8760 0.4347 0.1098
S 0.8760 0.9413 0.7662
S 0.8902 0.1240 0.5653
S 0.8902 0.2662 0.3249
S 0.9347 0.0587 0.3249
S 0.9347 0.3760 0.6098
S 0.9413 0.6751 0.0653
S 0.9413 0.7662 0.8760

The total magnetic moment comes out at 5.83 μB/f.u. The density of states at the Fermi level comes out at 183.390 states/eV per cell. The uncorrected formation energy is -0.768 eV per atom.